The following is a DFT calculation (meta-GGA SCAN) of a crystal of LiCu4P3O12 relaxed with PBEsol.

a b c (Å): 7.1839 8.4434 8.4434
angles (deg): 90.63 110.69 110.69
With the nearest neighbours (Å) after each atom.
Atoms (fractional coordinates):
O 0.7362 0.5313 0.2662  1 P 1.60
O 0.2362 0.2662 0.5313  1 P 1.60
O 0.3459 0.7353 0.5208  1 P 1.59
P 0.1090 0.3388 0.1149  4 O 1.53-1.59
Cu 0.2500 0.4919 0.5081  4 O 1.89-1.91
P 0.3910 0.8851 0.6612  4 O 1.53-1.59
Cu 0.8533 0.9409 0.6153  4 O 1.90-1.96
O 0.0990 0.1658 0.1761  1 P 1.54
O 0.5990 0.1761 0.1658  1 P 1.54
O 0.7855 0.0429 0.4086  1 P 1.53
O 0.6225 0.0192 0.7000  1 P 1.56
O 0.6541 0.2647 0.4792  1 P 1.59
O 0.1225 0.7000 0.0192  1 P 1.56
O 0.2638 0.4687 0.7338  1 P 1.60
O 0.3775 0.9808 0.3000  1 P 1.56
O 0.7145 0.5914 0.9571  1 P 1.53
O 0.9527 0.8370 0.2502  1 P 1.52
O 0.2145 0.9571 0.5914  1 P 1.53
O 0.8775 0.3000 0.9808  1 P 1.56
Li 0.2500 0.9804 0.0196  4 O 2.22-2.32
O 0.7638 0.7338 0.4687  1 P 1.60
Li 0.7500 0.0196 0.9804  4 O 2.22-2.32
P 0.2500 0.2754 0.7246  4 O 1.52-1.60
Cu 0.7500 0.5081 0.4919  4 O 1.89-1.91
O 0.5473 0.7498 0.1630  1 P 1.52
O 0.9010 0.8342 0.8239  1 P 1.54
Cu 0.3533 0.6153 0.9409  4 O 1.90-1.96
O 0.0473 0.1630 0.7498  1 P 1.52
O 0.4010 0.8239 0.8342  1 P 1.54
P 0.8910 0.6612 0.8851  4 O 1.53-1.59
Cu 0.7500 0.2678 0.7322  4 O 1.94-2.00
Cu 0.6467 0.3847 0.0591  4 O 1.90-1.96
O 0.2855 0.4086 0.0429  1 P 1.53
P 0.7500 0.7246 0.2754  4 O 1.52-1.60
O 0.1541 0.4792 0.2647  1 P 1.59
Cu 0.1467 0.0591 0.3847  4 O 1.90-1.96
P 0.6090 0.1149 0.3388  4 O 1.53-1.59
O 0.4527 0.2502 0.8370  1 P 1.52
Cu 0.2500 0.7322 0.2678  4 O 1.94-2.00
O 0.8459 0.5208 0.7353  1 P 1.59

Computed properties:
Raw formation energy = -1.827 eV per atom
Crystal system = monoclinic
ΔE to the lowest computed polymorph = 18.1 meV/atom
Calculated volume = 11.07 Å³/atom



The following is a DFT calculation (meta-GGA SCAN) of a crystal of Sr5Pt relaxed with PBEsol.

a b c (Å): 3.9239 7.1467 9.7965
angles (deg): 69.82 78.45 74.07
With the nearest neighbours (Å) after each atom.
Atoms (fractional coordinates):
Sr 0.5000 0.0000 0.0000  12 Sr 3.92-4.29
Sr 0.1142 0.1579 0.6136  2 Pt 3.00
Pt 0.5000 0.5000 0.5000  4 Sr 3.00
Sr 0.8858 0.8421 0.3864  2 Pt 3.00
Sr 0.8291 0.5650 0.7767  2 Pt 3.44, 2 Sr 3.60-3.64
Sr 0.1709 0.4350 0.2233  2 Pt 3.44, 2 Sr 3.60-3.64

Computed properties:
Formation energy from the elements = -0.302 eV/atom
Crystal system = monoclinic
Calculated volume = 41.04 Å³/atom



The following is a DFT calculation (meta-GGA SCAN) of a crystal of Al2Ag relaxed with PBEsol.

a b c (Å): 2.8589 2.8589 11.8865
angles (deg): 90.00 90.00 90.00
With the nearest neighbours (Å) after each atom.
Atoms (fractional coordinates):
Al 0.5000 0.0000 0.5846  12 Al 2.84-2.86
Ag 0.0000 0.5000 0.0896  4 Al 2.76, 8 Ag 2.86-2.94
Al 0.0000 0.5000 0.4154  12 Al 2.84-2.86
Al 0.0000 0.5000 0.7520  4 Ag 2.76, 8 Al 2.84-2.86
Ag 0.5000 0.0000 0.9104  4 Al 2.76, 8 Ag 2.86-2.94
Al 0.5000 0.0000 0.2480  4 Ag 2.76, 8 Al 2.84-2.86

Computed properties:
Formation energy from the elements = -0.044 eV/atom
Crystal system = tetragonal
Calculated volume = 16.19 Å³/atom



The following is a DFT calculation (meta-GGA SCAN) of a crystal of Mn2NiCl relaxed with PBEsol.

a b c (Å): 4.1849 4.1849 4.1849
angles (deg): 60.00 60.00 60.00
With the nearest neighbours (Å) after each atom.
Atoms (fractional coordinates):
Ni 0.2500 0.2500 0.2500  4 Mn 2.56, 4 Cl 2.56
Mn 0.0000 0.0000 0.0000  4 Mn 2.56, 4 Ni 2.56
Cl 0.5000 0.5000 0.5000  4 Ni 2.56, 4 Mn 2.56
Mn 0.7500 0.7500 0.7500  4 Cl 2.56, 4 Mn 2.56

Computed properties:
Raw formation energy = 0.390 eV per atom
Crystal system = cubic
ΔE to the lowest computed polymorph = 483.7 meV/atom
Calculated volume = 12.96 Å³/atom



The following is a DFT calculation (meta-GGA SCAN) of a crystal of Ca2AlHg relaxed with PBEsol.

a b c (Å): 3.6765 3.6765 7.5090
angles (deg): 90.00 90.00 90.00
With the nearest neighbours (Å) after each atom.
Atoms (fractional coordinates):
Hg 0.5000 0.5000 0.0000  8 Ca 3.20
Ca 0.0000 0.0000 0.2482  4 Hg 3.20, 4 Al 3.21
Ca 0.0000 0.0000 0.7518  4 Hg 3.20, 4 Al 3.21
Al 0.5000 0.5000 0.5000  8 Ca 3.21

Computed properties:
Formation energy from the elements = -0.454 eV/atom
Crystal system = tetragonal
ΔE to the lowest computed polymorph = 0.0 meV/atom
Calculated volume = 25.37 Å³/atom



The following is a DFT calculation (meta-GGA SCAN) of a crystal of NiHgN2F relaxed with PBEsol.

a b c (Å): 4.0779 4.0779 4.5317
angles (deg): 90.00 90.00 90.00
With the nearest neighbours (Å) after each atom.
Atoms (fractional coordinates):
N 0.5000 0.0000 0.0000  2 Hg 2.04
Hg 0.0000 0.0000 0.0000  4 N 2.04, 2 F 2.27
N 0.0000 0.5000 0.0000  2 Hg 2.04
F 0.0000 0.0000 0.5000  2 Hg 2.27
Ni 0.5000 0.5000 0.5000  4 F 2.88, 8 N 3.05

Computed properties:
Raw formation energy = 1.674 eV per atom
Crystal system = tetragonal
Calculated volume = 15.07 Å³/atom



The following is a DFT calculation (meta-GGA SCAN) of a crystal of RbAsRuSe2 relaxed with PBEsol.

a b c (Å): 5.2908 5.4646 5.4646
angles (deg): 90.00 90.00 90.00
With the nearest neighbours (Å) after each atom.
Atoms (fractional coordinates):
Ru 0.5000 0.5000 0.5000  8 Se 3.80, 4 As 3.86
Se 0.0000 0.0000 0.5000  2 Rb 2.73
Se 0.0000 0.5000 0.0000  2 Rb 2.73
As 0.5000 0.0000 0.0000  2 Rb 2.65
Rb 0.0000 0.0000 0.0000  2 As 2.65, 4 Se 2.73

Computed properties:
Raw formation energy = 2.074 eV per atom
Crystal system = tetragonal
Calculated volume = 31.60 Å³/atom



The following is a DFT calculation (meta-GGA SCAN) of a crystal of Zr2CdH2 relaxed with PBEsol.

a b c (Å): 3.7049 3.7049 5.5549
angles (deg): 109.48 109.48 90.00
With the nearest neighbours (Å) after each atom.
Atoms (fractional coordinates):
Zr 0.6560 0.6560 0.3120  4 H 2.07
Cd 0.0000 0.0000 0.0000  10 Zr 3.03-3.37, 8 H 3.07
Zr 0.3440 0.3440 0.6880  4 H 2.07
H 0.2500 0.7500 0.5000  4 Zr 2.07
H 0.7500 0.2500 0.5000  4 Zr 2.07

Computed properties:
Crystal system = tetragonal
Total DFT energy (no corrections) = -20.184 eV per atom
Calculated volume = 13.45 Å³/atom



Among the records above, which one has the highest calculated volume?
Sr5Pt



Which formula does entry 8 have?
Zr2CdH2